Here is a relaxed Ba2NaAg3Pb4 crystal from Alexandria. Energies are from GGA-PBE.

abc: 4.986 4.986 12.335
angles: 90.00 90.00 90.00
Sites, in units of the cell vectors:
Ag  0.500  0.000  0.868
Ag  0.000  0.000  0.500
Ag  0.000  0.500  0.132
Na  0.500  0.500  0.500
Pb  0.500  0.000  0.639
Pb  0.000  0.500  0.361
Pb  0.000  0.000  0.000
Pb  0.500  0.500  0.000
Ba  0.500  0.000  0.249
Ba  0.000  0.500  0.751

Values from the calculation:
- Theoretical density: 7.85 g/cm³
- Calculated formation energy: -234 kJ/mol of formula units
- Volume: 30.7 Å³ per atom
- DFT total energy: -30.97 eV per cell